Here is a relaxed Rb2Ho2NpS6 crystal from the Alexandria database. Energies are from PBE-GGA.

Cell and atoms, written as extended XYZ:
```
11
Lattice="3.4789 -6.0191 0.0000 3.4789 6.0191 0.0000 -2.3632 0.0000 7.8624" Properties=species:S:1:pos:R:3 pbc="T T T"
Rb 3.4789 3.9875 0.0000
Rb 3.4789 -3.9875 0.0000
Ho 2.2973 2.0028 3.9312
Ho 2.2973 -2.0028 3.9312
Np -1.1816 0.0000 3.9312
S -0.0429 1.9899 5.3884
S 1.0970 0.0000 2.4756
S -0.0429 -1.9899 5.3884
S 4.6374 1.9899 2.4739
S 3.4976 0.0000 5.3868
S 4.6374 -1.9899 2.4739
```

Summary:
Its space group is C2/m, No. 12. Its volume is 29.93 A^3/atom. The energy relative to the elements, uncorrected comes out at -1714 meV per atom. The density of states at the Fermi level comes out at 5.618 states/eV per cell. As for the magnetization: 0.273 μB/atom.

Here is a relaxed Rb4Ho3NpS8 crystal from the Alexandria database. Energies are from PBE-GGA.

Cell and atoms, written as extended XYZ:
```
16
Lattice="4.0878 2.3601 7.6780 -4.0878 2.3601 7.6780 0.0000 -4.7202 7.6780" Properties=species:S:1:pos:R:3 pbc="T T T"
Rb 0.0000 0.0000 0.0000
Rb -2.0439 -1.1801 7.6780
Rb -2.0439 1.1800 15.3560
Rb 0.0000 2.3601 7.6780
Ho -4.0878 0.0000 11.5170
Ho -2.0439 1.1800 3.8390
Ho 2.0439 1.1801 3.8390
Np 0.0000 0.0000 11.5170
S -2.0702 -1.1952 12.9856
S 0.0000 0.0000 5.3070
S 0.0000 -2.3905 10.0484
S -2.0702 1.1952 10.0484
S 2.0702 -1.1952 12.9856
S 0.0000 2.3905 12.9856
S 0.0000 0.0000 17.7270
S 2.0702 1.1952 10.0484
```

Summary:
Its space group is R-3m, No. 166. Its volume is 27.78 A^3/atom. The energy relative to the elements, uncorrected comes out at -1720 meV per atom. The density of states at the Fermi level comes out at 5.946 states/eV per cell. As for the magnetization: 0.250 μB/atom.

Here is a relaxed Rb3HoNp3S8 crystal from the Alexandria database. Energies are from PBE-GGA.

Cell and atoms, written as extended XYZ:
```
15
Lattice="4.0609 2.3445 7.7779 -4.0609 2.3445 7.7779 0.0000 -4.6891 7.7779" Properties=species:S:1:pos:R:3 pbc="T T T"
Rb -2.0304 -1.1723 7.7779
Rb -2.0304 1.1723 15.5558
Rb 0.0000 2.3445 7.7779
Ho 0.0000 0.0000 11.6669
Np -4.0609 0.0000 11.6669
Np -2.0304 1.1723 3.8889
Np 2.0304 1.1723 3.8890
S 0.0000 0.0000 5.3463
S -2.0285 -1.1712 13.1110
S 0.0000 -2.3424 10.2228
S -2.0285 1.1712 10.2228
S 2.0285 -1.1712 13.1110
S 0.0000 2.3424 13.1110
S 2.0285 1.1712 10.2227
S 0.0000 0.0000 17.9874
```

Summary:
Its space group is R-3m, No. 166. Its volume is 29.62 A^3/atom. The energy relative to the elements, uncorrected comes out at -1508 meV per atom. The density of states at the Fermi level comes out at 27.667 states/eV per cell. As for the magnetization: 0.733 μB/atom.

Here is a relaxed Rb3HoNp2S6 crystal from the Alexandria database. Energies are from PBE-GGA.

Cell and atoms, written as extended XYZ:
```
12
Lattice="3.5551 -6.1577 0.0000 3.5551 6.1577 0.0000 -2.3701 0.0000 7.6827" Properties=species:S:1:pos:R:3 pbc="T T T"
Rb 0.0000 0.0000 0.0000
Rb 3.5551 2.0480 0.0000
Rb 3.5551 -2.0480 0.0000
Ho 2.3700 0.0000 3.8414
Np 2.3700 4.1047 3.8414
Np 2.3700 -4.1047 3.8414
S 1.1921 2.0402 2.3715
S 0.0141 0.0000 5.3102
S 1.1921 -2.0402 2.3715
S 3.5480 2.0402 5.3112
S 4.7260 0.0000 2.3725
S 3.5480 -2.0402 5.3112
```

Summary:
Its space group is C2/m, No. 12. Its volume is 28.03 A^3/atom. The energy relative to the elements, uncorrected comes out at -1515 meV per atom. The density of states at the Fermi level comes out at 21.764 states/eV per cell. As for the magnetization: 0.667 μB/atom.

Copy entry 4 word for word.
Here is a relaxed Rb3HoNp2S6 crystal from the Alexandria database. Energies are from PBE-GGA.

Cell and atoms, written as extended XYZ:
```
12
Lattice="3.5551 -6.1577 0.0000 3.5551 6.1577 0.0000 -2.3701 0.0000 7.6827" Properties=species:S:1:pos:R:3 pbc="T T T"
Rb 0.0000 0.0000 0.0000
Rb 3.5551 2.0480 0.0000
Rb 3.5551 -2.0480 0.0000
Ho 2.3700 0.0000 3.8414
Np 2.3700 4.1047 3.8414
Np 2.3700 -4.1047 3.8414
S 1.1921 2.0402 2.3715
S 0.0141 0.0000 5.3102
S 1.1921 -2.0402 2.3715
S 3.5480 2.0402 5.3112
S 4.7260 0.0000 2.3725
S 3.5480 -2.0402 5.3112
```

Summary:
Its space group is C2/m, No. 12. Its volume is 28.03 A^3/atom. The energy relative to the elements, uncorrected comes out at -1515 meV per atom. The density of states at the Fermi level comes out at 21.764 states/eV per cell. As for the magnetization: 0.667 μB/atom.

Question: Number 1 is which compound?
Answer: Rb2Ho2NpS6